(1)
GeMoAs2Br: relaxed, PBE-GGA.

Cell: 4.8184 4.8184 5.4443 Å, 90.00 90.00 90.00°
With the nearest neighbours (Å) after each atom.
Element x y z (fractional)
Ge: 0.0000 0.0000 0.0000  4 Br 3.41, 8 As 3.64
Mo: 0.5000 0.5000 0.5000  4 As 2.41
As: 0.0000 0.5000 0.5000  2 Mo 2.41
As: 0.5000 0.0000 0.5000  2 Mo 2.41
Br: 0.5000 0.5000 0.0000  2 Mo 2.72

Results
- calculated volume (A^3/atom) = 25.28
- D(E_F) (states/eV per atom) = 0.916
- total magnetization (μB per formula unit) = 0.45

***

(2)
GeMoAs2Br: relaxed, PBE-GGA.

Cell: 4.9522 4.9522 5.1064 Å, 90.00 90.00 90.00°
With the nearest neighbours (Å) after each atom.
Element x y z (fractional)
Ge: 0.0000 0.0000 0.0000  4 As 2.48, 2 Br 2.55
Mo: 0.5000 0.5000 0.5000  4 Br 3.50, 8 As 3.56
As: 0.0000 0.5000 0.0000  2 Ge 2.48
As: 0.5000 0.0000 0.0000  2 Ge 2.48
Br: 0.0000 0.0000 0.5000  2 Ge 2.55

Results
- calculated volume (A^3/atom) = 25.05
- D(E_F) (states/eV per atom) = 0.651
- total magnetization (μB per formula unit) = 3.17

***

Which structure above is the least stable? It is (2).